(1)
# SrSbF, relaxed, DFT PBE-GGA
data_SrSbF
_chemical_formula_sum 'Sr2 Sb2 F2'
_cell_length_a 9.166
_cell_length_b 9.166
_cell_length_c 9.166
_cell_angle_alpha 153.74
_cell_angle_beta 153.74
_cell_angle_gamma 37.48
_symmetry_space_group_name_H-M 'P 1'
_symmetry_Int_Tables_number 1
loop_
_symmetry_equiv_pos_as_xyz
'x,y,z'
loop_
_atom_site_label
_atom_site_fract_x
_atom_site_fract_y
_atom_site_fract_z
Sr1 0.091 0.091 0.000
Sr2 0.909 0.909 0.000
Sb1 0.277 0.277 0.000
Sb2 0.723 0.723 0.000
F1 0.000 0.500 0.500
F2 0.500 0.000 0.500
# * formation energy from raw total energies: -2.081 eV per atom
# * polymorph energy (0 for the lowest one): 178 meV per atom
# * symmetry: I4/mmm, No. 139

***

(2)
# BaYZr2Pb, relaxed, DFT PBE-GGA
data_BaYZr2Pb
_chemical_formula_sum 'Ba1 Y1 Zr2 Pb1'
_cell_length_a 5.349
_cell_length_b 5.349
_cell_length_c 5.655
_cell_angle_alpha 90.00
_cell_angle_beta 90.00
_cell_angle_gamma 90.00
_symmetry_space_group_name_H-M 'P 1'
_symmetry_Int_Tables_number 1
loop_
_symmetry_equiv_pos_as_xyz
'x,y,z'
loop_
_atom_site_label
_atom_site_fract_x
_atom_site_fract_y
_atom_site_fract_z
Ba1 0.000 0.000 0.000
Y1 0.000 0.000 0.500
Zr1 0.000 0.500 0.000
Zr2 0.500 0.000 0.000
Pb1 0.500 0.500 0.500
# * symmetry: P4/mmm, No. 123
# * formation energy from the elements: 1.402 eV/atom

***

(3)
# SnP2PtCl, relaxed, DFT PBE-GGA
data_SnP2PtCl
_chemical_formula_sum 'Sn1 P2 Pt1 Cl1'
_cell_length_a 5.048
_cell_length_b 5.048
_cell_length_c 4.830
_cell_angle_alpha 90.00
_cell_angle_beta 90.00
_cell_angle_gamma 90.00
_symmetry_space_group_name_H-M 'P 1'
_symmetry_Int_Tables_number 1
loop_
_symmetry_equiv_pos_as_xyz
'x,y,z'
loop_
_atom_site_label
_atom_site_fract_x
_atom_site_fract_y
_atom_site_fract_z
Sn1 0.000 0.000 0.000
P1 0.000 0.500 0.000
P2 0.500 0.000 0.000
Pt1 0.500 0.500 0.500
Cl1 0.000 0.000 0.500
# * formation energy from raw total energies: 1.166 eV per atom
# * polymorph energy (0 for the lowest one): 810 meV per atom
# * symmetry: P4/mmm, No. 123

***

(4)
# Ac4NiRh, relaxed, DFT PBE-GGA
data_Ac4NiRh
_chemical_formula_sum 'Ac4 Ni1 Rh1'
_cell_length_a 6.955
_cell_length_b 4.305
_cell_length_c 7.492
_cell_angle_alpha 90.00
_cell_angle_beta 90.23
_cell_angle_gamma 90.00
_symmetry_space_group_name_H-M 'P 1'
_symmetry_Int_Tables_number 1
loop_
_symmetry_equiv_pos_as_xyz
'x,y,z'
loop_
_atom_site_label
_atom_site_fract_x
_atom_site_fract_y
_atom_site_fract_z
Ac1 0.228 0.000 0.335
Ac2 0.233 0.500 0.833
Ac3 0.767 0.500 0.167
Ac4 0.772 0.000 0.665
Ni1 0.000 0.500 0.500
Rh1 0.000 0.000 0.000
# * symmetry: P2/m, No. 10
# * formation energy from the elements: -0.357 eV/atom